No. 1
! PBE-GGA Sm7BeBr12, relaxed; values from VASP
! DFT total energy ... -4.372 eV/atom
! DOS(E_F) ... 10.83 states/eV/cell
! Symmetry ... No. 148
&SYSTEM
  ibrav = 0, nat = 20, ntyp = 3
/
ATOMIC_SPECIES
Br 79.90 Br.upf
Sm 150.36 Sm.upf
Be 9.01 Be.upf
CELL_PARAMETERS angstrom
8.893 -0.199 -2.713
-3.609 8.131 -2.713
-0.133 -0.199 9.297
ATOMIC_POSITIONS crystal
Br 0.774 0.922 0.311
Br 0.159 0.391 0.474
Br 0.474 0.159 0.391
Br 0.922 0.311 0.774
Br 0.609 0.526 0.841
Br 0.078 0.689 0.226
Br 0.841 0.609 0.526
Br 0.526 0.841 0.609
Br 0.226 0.078 0.689
Br 0.311 0.774 0.922
Br 0.689 0.226 0.078
Br 0.391 0.474 0.159
Sm 0.035 0.321 0.110
Sm 0.965 0.679 0.890
Sm 0.110 0.035 0.321
Sm 0.500 0.500 0.500
Sm 0.679 0.890 0.965
Sm 0.890 0.965 0.679
Sm 0.321 0.110 0.035
Be 0.000 0.000 0.000

---

No. 2
! PBE-GGA LaHgW2, relaxed; values from VASP
! DFT total energy ... -6.970 eV/atom
! DOS(E_F) ... 3.74 states/eV/cell
! Energy of formation from the pure elements ... 79 kJ per mole of atoms
! Symmetry ... No. 10
&SYSTEM
  ibrav = 0, nat = 4, ntyp = 3
/
ATOMIC_SPECIES
W 183.84 W.upf
Hg 200.59 Hg.upf
La 138.91 La.upf
CELL_PARAMETERS angstrom
5.175 0.000 0.000
0.000 3.095 -0.008
0.000 0.238 5.368
ATOMIC_POSITIONS crystal
W 0.000 0.081 0.968
W 0.000 0.419 0.532
Hg 0.500 0.250 0.250
La 0.500 0.750 0.750

---

No. 3
! PBE-GGA LuZrBeGa, relaxed; values from VASP
! DFT total energy ... -5.182 eV/atom
! DOS(E_F) ... 1.58 states/eV/cell
! Energy of formation from the pure elements ... -22 kJ per mole of atoms
! Symmetry ... No. 216
&SYSTEM
  ibrav = 0, nat = 4, ntyp = 4
/
ATOMIC_SPECIES
Be 9.01 Be.upf
Zr 91.22 Zr.upf
Ga 69.72 Ga.upf
Lu 174.97 Lu.upf
CELL_PARAMETERS angstrom
-3.997 1.244 2.161
-3.135 -3.293 1.230
-0.647 -1.055 4.545
ATOMIC_POSITIONS crystal
Be 0.000 0.000 0.000
Zr 0.250 0.250 0.250
Ga 0.500 0.500 0.500
Lu 0.750 0.750 0.750

---

No. 4
! PBE-GGA NaTlReF6, relaxed; values from VASP
! DFT total energy ... -5.271 eV/atom
! DOS(E_F) ... 0.00 states/eV/cell
! Symmetry ... No. 163
&SYSTEM
  ibrav = 0, nat = 18, ntyp = 4
/
ATOMIC_SPECIES
F 19.00 F.upf
Re 186.21 Re.upf
Na 22.99 Na.upf
Tl 204.38 Tl.upf
CELL_PARAMETERS angstrom
5.906 0.000 0.000
-2.953 5.114 0.000
0.000 0.000 11.456
ATOMIC_POSITIONS crystal
F 0.652 0.606 0.154
F 0.394 0.046 0.154
F 0.348 0.954 0.654
F 0.348 0.394 0.846
F 0.652 0.046 0.346
F 0.954 0.606 0.346
F 0.606 0.652 0.654
F 0.046 0.394 0.654
F 0.394 0.348 0.346
F 0.954 0.348 0.154
F 0.606 0.954 0.846
F 0.046 0.652 0.846
Re 0.333 0.667 0.750
Re 0.667 0.333 0.250
Na 0.333 0.667 0.250
Na 0.667 0.333 0.750
Tl 0.000 0.000 0.000
Tl 0.000 0.000 0.500

---

No. 5
! PBE-GGA IO4, relaxed; values from VASP
! DFT total energy ... -3.586 eV/atom
! DOS(E_F) ... 2.96 states/eV/cell
! Symmetry ... No. 221
&SYSTEM
  ibrav = 0, nat = 5, ntyp = 2
/
ATOMIC_SPECIES
O 16.00 O.upf
I 126.90 I.upf
CELL_PARAMETERS angstrom
-1.512 3.555 -1.057
-3.545 -1.050 1.540
1.090 1.517 3.543
ATOMIC_POSITIONS crystal
O 0.500 0.500 0.000
O 0.000 0.000 0.000
O 0.000 0.500 0.500
O 0.500 0.000 0.500
I 0.500 0.500 0.500

---

No. 6
! PBE-GGA YErPa2N4, relaxed; values from VASP
! DFT total energy ... -9.582 eV/atom
! DOS(E_F) ... 4.13 states/eV/cell
! Symmetry ... No. 10
&SYSTEM
  ibrav = 0, nat = 8, ntyp = 4
/
ATOMIC_SPECIES
N 14.01 N.upf
Pa 231.04 Pa.upf
Y 88.91 Y.upf
Er 167.26 Er.upf
CELL_PARAMETERS angstrom
3.471 0.000 0.000
0.000 6.017 0.099
0.000 -2.107 5.663
ATOMIC_POSITIONS crystal
N 0.000 0.756 0.258
N 0.000 0.244 0.742
N 0.500 0.751 0.744
N 0.500 0.249 0.256
Pa 0.000 0.500 0.500
Pa 0.500 0.000 0.500
Y 0.500 0.500 0.000
Er 0.000 0.000 0.000

---

No. 7
! PBE-GGA HoTh2N, relaxed; values from VASP
! DFT total energy ... -7.385 eV/atom
! DOS(E_F) ... 4.98 states/eV/cell
! Symmetry ... No. 166
&SYSTEM
  ibrav = 0, nat = 4, ntyp = 3
/
ATOMIC_SPECIES
Th 232.04 Th.upf
Ho 164.93 Ho.upf
N 14.01 N.upf
CELL_PARAMETERS angstrom
-1.789 2.443 1.791
-0.328 -0.267 3.492
7.499 5.879 2.926
ATOMIC_POSITIONS crystal
Th 0.116 0.116 0.652
Th 0.884 0.884 0.348
Ho 0.000 0.000 0.000
N 0.500 0.500 0.500

---

No. 8
! PBE-GGA Tc2PtSe, relaxed; values from VASP
! DFT total energy ... -7.339 eV/atom
! DOS(E_F) ... 4.71 states/eV/cell
! Symmetry ... No. 44
&SYSTEM
  ibrav = 0, nat = 4, ntyp = 3
/
ATOMIC_SPECIES
Se 78.96 Se.upf
Pt 195.08 Pt.upf
Tc 98.00 Tc.upf
CELL_PARAMETERS angstrom
5.291 0.007 0.006
2.545 4.639 -0.006
-3.402 -3.193 2.495
ATOMIC_POSITIONS crystal
Se 0.240 0.740 0.500
Pt 0.481 0.481 0.000
Tc 0.021 0.021 0.000
Tc 0.759 0.259 0.500